1.
! PBE-GGA ReNiRh3, relaxed; values from VASP
! * space-group type: C2/m
! * energy of formation from the pure elements: 0.24 eV per atom
! * excess energy over the best structure of this formula in the dataset: 0.00 eV per formula unit
&SYSTEM
  ibrav = 0, nat = 10, ntyp = 3
/
ATOMIC_SPECIES
Re 186.21 Re.upf
Ni 58.69 Ni.upf
Rh 102.91 Rh.upf
CELL_PARAMETERS angstrom
-2.2183 0.3765 1.5072
-3.9394 -2.5970 -5.1550
3.3727 -6.8635 4.2496
ATOMIC_POSITIONS angstrom
Re -2.1349 -3.0884 1.2788
Re -0.6502 -5.9956 -0.6770
Ni -4.4149 -2.8338 -2.1480
Ni 1.6299 -6.2501 2.7497
Rh -2.3058 -4.0170 -1.1743
Rh 0.2513 -7.7455 1.0899
Rh -2.2217 -7.9594 -0.0634
Rh -0.4793 -5.0670 1.7761
Rh -0.5633 -1.1246 0.6652
Rh -3.0364 -1.3384 -0.4881

***

2.
! PBE-GGA Ba3Hg2Pb9, relaxed; values from VASP
! * space-group type: Immm
! * energy of formation from the pure elements: -0.32 eV per atom
&SYSTEM
  ibrav = 0, nat = 14, ntyp = 3
/
ATOMIC_SPECIES
Ba 137.33 Ba.upf
Hg 200.59 Hg.upf
Pb 207.20 Pb.upf
CELL_PARAMETERS angstrom
5.3256 0.0000 1.4304
2.1602 9.2254 2.5866
0.2181 -0.2039 9.8171
ATOMIC_POSITIONS angstrom
Ba 0.0000 0.0000 0.0000
Ba 4.4407 2.7087 4.7251
Ba 3.2631 6.3129 9.1090
Hg 3.5382 2.9878 8.0849
Hg 4.1656 6.0338 5.7492
Pb 1.1891 4.5108 6.2018
Pb 5.7187 9.0554 10.5959
Pb 1.9851 -0.0339 3.2382
Pb 5.1860 6.4694 12.5789
Pb 2.5178 2.5521 1.2552
Pb 6.5104 7.9187 7.6481
Pb 1.1934 1.1028 6.1860
Pb 5.6527 3.7542 10.8415
Pb 2.0511 5.2673 2.9926

***

3.
! PBE-GGA Ce6C3ClO2, relaxed; values from VASP
! * space-group type: C2/m
! * uncorrected formation energy: -30.29 kcal/mol of atoms
&SYSTEM
  ibrav = 0, nat = 12, ntyp = 4
/
ATOMIC_SPECIES
Ce 140.12 Ce.upf
C 12.01 C.upf
Cl 35.45 Cl.upf
O 16.00 O.upf
CELL_PARAMETERS angstrom
-2.0084 2.8129 -1.2858
-1.9236 -4.0591 -5.8753
-4.7732 -3.1186 5.9216
ATOMIC_POSITIONS angstrom
Ce -5.4942 -4.8053 -1.9305
Ce -4.0610 -1.5377 -2.3089
Ce -3.2110 0.4405 0.6911
Ce -0.5441 -1.1218 -1.6042
Ce -8.1611 -3.2430 0.3647
Ce -4.6442 -2.8271 1.0695
C -1.9660 -0.6231 -3.5805
C -5.1792 -0.4278 1.8660
C -3.5260 -3.9370 -3.1054
Cl -1.0042 1.4064 -0.6429
O -6.0755 -2.4040 -1.0574
O -2.6297 -1.9609 -0.1820

***

4.
! PBE-GGA Na3Tl2Se4, relaxed; values from VASP
! * space-group type: C2/c
! * uncorrected formation energy: -14.18 kcal/mol of atoms
! * excess energy over the best structure of this formula in the dataset: 0.03 eV per formula unit
&SYSTEM
  ibrav = 0, nat = 18, ntyp = 3
/
ATOMIC_SPECIES
Na 22.99 Na.upf
Tl 204.38 Tl.upf
Se 78.96 Se.upf
CELL_PARAMETERS angstrom
7.4818 -0.0761 -0.0536
0.2234 8.5387 -0.7723
0.2244 2.0202 8.3327
ATOMIC_POSITIONS angstrom
Na 6.8301 0.4441 1.9460
Na 4.8405 8.4603 7.6853
Na 1.0995 10.0387 5.5607
Na 3.0891 2.0225 -0.1786
Na 2.0943 6.3867 2.1937
Na 5.8353 4.0961 5.3130
Tl 2.9679 2.4436 3.4632
Tl 1.2216 6.4557 6.3352
Tl 4.9617 8.0392 4.0435
Tl 6.7080 4.0272 1.1715
Se 4.0256 8.5341 1.4337
Se 7.6444 6.3372 -0.1378
Se 3.9040 1.9487 6.0730
Se 0.2852 4.1456 7.6445
Se 0.2319 2.9227 3.4872
Se 3.9567 6.2775 5.8908
Se 7.6977 7.5601 4.0195
Se 3.9729 4.2053 1.6159

***

5.
! PBE-GGA KBa2Na6, relaxed; values from VASP
! * space-group type: Fm-3m
! * energy of formation from the pure elements: 0.08 eV per atom
! * excess energy over the best structure of this formula in the dataset: 0.51 eV per formula unit
&SYSTEM
  ibrav = 0, nat = 9, ntyp = 3
/
ATOMIC_SPECIES
K 39.10 K.upf
Ba 137.33 Ba.upf
Na 22.99 Na.upf
CELL_PARAMETERS angstrom
7.3807 0.0000 4.2613
2.4602 6.9586 4.2613
0.0000 0.0000 8.5225
ATOMIC_POSITIONS angstrom
K 0.0000 0.0000 0.0000
Ba 2.4602 1.7396 4.2613
Ba 7.3807 5.2189 12.7838
Na 6.9542 4.9173 8.5225
Na 3.9036 4.9173 10.2838
Na 3.9036 4.9173 6.7613
Na 2.8868 2.0412 8.5225
Na 5.9373 2.0412 6.7613
Na 5.9373 2.0412 10.2838

***

6.
! PBE-GGA Ir3Pb, relaxed; values from VASP
! * space-group type: P-6m2
! * energy of formation from the pure elements: 0.63 eV per atom
&SYSTEM
  ibrav = 0, nat = 4, ntyp = 2
/
ATOMIC_SPECIES
Ir 192.22 Ir.upf
Pb 207.20 Pb.upf
CELL_PARAMETERS angstrom
-1.3909 2.4960 0.5717
-1.0045 -1.7862 -2.0716
-5.3342 -4.4420 6.4166
ATOMIC_POSITIONS angstrom
Ir -0.1459 -0.1215 0.1756
Ir -2.5211 -2.0995 3.0327
Ir -2.5956 -0.0419 1.2947
Pb -5.2627 -2.2629 4.5030

***

7.
! PBE-GGA PrTeP, relaxed; values from VASP
! * space-group type: P2_1/m
! * uncorrected formation energy: -25.66 kcal/mol of atoms
&SYSTEM
  ibrav = 0, nat = 6, ntyp = 3
/
ATOMIC_SPECIES
Pr 140.91 Pr.upf
Te 127.60 Te.upf
P 30.97 P.upf
CELL_PARAMETERS angstrom
-3.6915 1.6666 -0.0346
-0.4672 -1.1208 -4.1431
-3.5780 -7.8589 3.2097
ATOMIC_POSITIONS angstrom
Pr -3.7567 -5.8345 1.2409
Pr -3.9801 -1.4786 -2.2088
Te -2.3819 -2.8106 0.2075
Te -5.3549 -4.5026 -1.1754
P -4.8533 -8.2968 -0.3650
P -2.8835 0.9837 -0.6029

***

8.
! PBE-GGA Ag4Br2Cl3, relaxed; values from VASP
! * space-group type: C2/c
! * uncorrected formation energy: -7.53 kcal/mol of atoms
! * excess energy over the best structure of this formula in the dataset: 0.30 eV per formula unit
&SYSTEM
  ibrav = 0, nat = 18, ntyp = 3
/
ATOMIC_SPECIES
Ag 107.87 Ag.upf
Br 79.90 Br.upf
Cl 35.45 Cl.upf
CELL_PARAMETERS angstrom
7.7279 0.3336 0.2388
0.5303 7.7057 -1.1611
0.5303 1.3837 7.6688
ATOMIC_POSITIONS angstrom
Ag 3.6862 7.8445 0.8234
Ag 1.2384 5.9491 -0.5337
Ag 5.1023 1.5785 5.9232
Ag 7.5501 3.4739 7.2803
Ag 0.5265 3.0896 2.7847
Ag 4.3980 5.6245 4.5996
Ag 8.2619 6.3334 3.9619
Ag 4.3905 3.7985 2.1470
Br 2.8872 2.2184 3.7505
Br 2.0373 4.9909 5.7355
Br 5.9012 7.2045 2.9961
Br 6.7512 4.4320 1.0111
Cl 0.3507 0.7159 1.5063
Cl 4.5739 7.5996 6.4348
Cl 8.4378 8.7071 5.2403
Cl 4.2146 1.8234 0.3118
Cl 2.4623 5.6553 1.8789
Cl 6.3262 3.7677 4.8677

***

9.
! PBE-GGA Nd4GaSbTe2, relaxed; values from VASP
! * space-group type: P2/m
! * uncorrected formation energy: -27.08 kcal/mol of atoms
&SYSTEM
  ibrav = 0, nat = 8, ntyp = 4
/
ATOMIC_SPECIES
Nd 144.24 Nd.upf
Ga 69.72 Ga.upf
Sb 121.76 Sb.upf
Te 127.60 Te.upf
CELL_PARAMETERS angstrom
-4.1918 1.3142 0.1731
-2.2520 -6.7768 -3.0847
0.0994 -0.7079 7.7835
ATOMIC_POSITIONS angstrom
Nd -2.6443 -1.2308 1.1390
Nd -3.7000 -4.9398 3.7330
Nd -0.5109 -2.3070 5.1432
Nd -1.6416 -5.1777 -0.4444
Ga -3.2219 -2.7313 -1.4558
Sb 0.0000 0.0000 0.0000
Te -2.0462 0.3031 3.9783
Te -1.0763 -3.7424 2.3494

***

10.
! PBE-GGA CaBeZnHS, relaxed; values from VASP
! * space-group type: Cm
! * excess energy over the best structure of this formula in the dataset: 0.03 eV per formula unit
&SYSTEM
  ibrav = 0, nat = 10, ntyp = 5
/
ATOMIC_SPECIES
Ca 40.08 Ca.upf
Be 9.01 Be.upf
Zn 65.41 Zn.upf
H 1.01 H.upf
S 32.06 S.upf
CELL_PARAMETERS angstrom
5.6837 0.0000 -0.0147
0.0000 3.8985 0.0000
-2.2837 0.0000 7.5762
ATOMIC_POSITIONS angstrom
Ca 2.1225 0.0000 4.5203
Ca 3.2644 1.9492 0.7322
Be 0.1304 0.0000 0.2807
Be -1.0115 1.9492 4.0688
Zn -0.7215 0.0000 2.7670
Zn -1.8633 1.9492 6.5551
H 4.4910 0.0000 0.9574
H 3.3492 1.9492 4.7455
S 1.5598 0.0000 1.7687
S 0.4180 1.9492 5.5568

***

11.
! PBE-GGA K2S6F, relaxed; values from VASP
! * space-group type: C2/m
! * uncorrected formation energy: -15.66 kcal/mol of atoms
&SYSTEM
  ibrav = 0, nat = 9, ntyp = 3
/
ATOMIC_SPECIES
K 39.10 K.upf
S 32.06 S.upf
F 19.00 F.upf
CELL_PARAMETERS angstrom
4.0079 -0.3164 -0.6388
-1.5882 7.6164 -2.2098
-0.4743 1.1227 7.9956
ATOMIC_POSITIONS angstrom
K 0.5714 6.5508 -1.1031
K 1.3740 1.8719 6.2501
S -0.5857 3.7529 0.4823
S 2.5311 4.6699 4.6647
S 1.3390 5.3221 3.2403
S -0.2823 1.9838 3.2626
S 2.2277 6.4389 1.8844
S 0.6064 3.1006 1.9067
F 0.0000 0.0000 0.0000

***

12.
! PBE-GGA Rb4Ce6Cl19, relaxed; values from VASP
! * space-group type: I23
! * uncorrected formation energy: -47.83 kcal/mol of atoms
&SYSTEM
  ibrav = 0, nat = 29, ntyp = 3
/
ATOMIC_SPECIES
Rb 85.47 Rb.upf
Ce 140.12 Ce.upf
Cl 35.45 Cl.upf
CELL_PARAMETERS angstrom
10.4901 0.0000 -3.7088
-5.2451 9.0847 -3.7088
0.0000 0.0000 11.1265
ATOMIC_POSITIONS angstrom
Rb 0.0000 0.0000 7.9268
Rb -3.7367 6.4722 -2.6423
Rb 1.5084 2.6126 1.0666
Rb 7.4734 0.0000 -2.6423
Ce 1.0517 4.5424 6.3069
Ce 4.1934 4.5424 -2.5981
Ce -1.8371 5.9027 2.5981
Ce 7.0822 3.1820 1.1107
Ce 0.7854 7.7243 -1.1107
Ce 4.4597 1.3604 4.8196
Cl 6.9294 0.0000 4.8998
Cl 3.5607 0.0000 2.5178
Cl 1.7804 3.0837 -2.5178
Cl 3.4647 6.0011 -4.8998
Cl -3.4647 6.0011 4.8998
Cl -1.7804 3.0837 2.5178
Cl 0.0000 0.0000 0.0000
Cl 1.8168 2.4095 4.6372
Cl 5.7018 2.7373 6.9828
Cl 3.2390 6.3474 -0.6607
Cl 6.4234 6.3066 -2.7804
Cl -0.2675 6.6752 -3.5417
Cl 4.7648 2.7782 -0.4348
Cl -1.3676 3.1060 6.7569
Cl 0.6696 5.9788 3.8760
Cl 7.4950 0.3686 0.9284
Cl -1.8714 8.7161 3.0481
Cl -0.4021 5.5155 0.1672
Cl 5.2686 3.5692 3.2740

***

13.
! PBE-GGA Np2Pa2Se2S5, relaxed; values from VASP
! * space-group type: I4/mmm
! * uncorrected formation energy: -29.19 kcal/mol of atoms
&SYSTEM
  ibrav = 0, nat = 11, ntyp = 4
/
ATOMIC_SPECIES
Np 237.00 Np.upf
Pa 231.04 Pa.upf
Se 78.96 Se.upf
S 32.06 S.upf
CELL_PARAMETERS angstrom
-2.7929 -0.3133 4.3775
0.7444 -5.1474 0.1066
11.3661 4.3650 4.4732
ATOMIC_POSITIONS angstrom
Np 6.8235 1.0786 4.4307
Np 2.4941 -2.1742 4.5266
Pa 2.1632 0.3419 1.4046
Pa 7.1544 -1.4376 7.5526
Se 4.4811 0.7083 2.9097
Se 4.8365 -1.8039 6.0476
S 0.0000 0.0000 0.0000
S 1.0615 0.2319 3.7848
S 6.4874 1.0895 7.3080
S 2.8302 -2.1852 1.6493
S 8.2561 -1.3275 5.1725

***

14.
! PBE-GGA InTcSn2, relaxed; values from VASP
! * space-group type: I-42d
! * energy of formation from the pure elements: 0.51 eV per atom
&SYSTEM
  ibrav = 0, nat = 8, ntyp = 3
/
ATOMIC_SPECIES
Tc 98.00 Tc.upf
Sn 118.71 Sn.upf
In 114.82 In.upf
CELL_PARAMETERS angstrom
-1.4604 3.4096 1.9084
-3.9027 -1.1733 -0.8902
-3.1548 -4.0826 9.4385
ATOMIC_POSITIONS angstrom
Tc -2.6815 1.1181 0.5091
Tc -4.8695 -2.0689 4.5287
Sn -2.1820 0.9467 3.4316
Sn -3.4177 -1.3108 2.0513
Sn -4.3967 -2.2292 7.4562
Sn -7.0394 -1.0994 7.9742
In 0.0000 0.0000 0.0000
In -3.6484 0.2225 5.9280

***

15.
! PBE-GGA DySnPdRu, relaxed; values from VASP
! * space-group type: F-43m
! * energy of formation from the pure elements: -0.56 eV per atom
&SYSTEM
  ibrav = 0, nat = 4, ntyp = 4
/
ATOMIC_SPECIES
Ru 101.07 Ru.upf
Sn 118.71 Sn.upf
Pd 106.42 Pd.upf
Dy 162.50 Dy.upf
CELL_PARAMETERS angstrom
-3.5887 -2.7887 -1.3195
-1.6490 -3.2975 2.9672
-4.2612 0.5261 1.9906
ATOMIC_POSITIONS angstrom
Ru -7.1241 -4.1701 2.7287
Sn -4.7494 -2.7801 1.8192
Pd -2.3747 -1.3900 0.9096
Dy 0.0000 0.0000 0.0000

***

16.
! PBE-GGA SrB2H, relaxed; values from VASP
! * space-group type: I4_1/amd
! * excess energy over the best structure of this formula in the dataset: 0.00 eV per formula unit
&SYSTEM
  ibrav = 0, nat = 8, ntyp = 3
/
ATOMIC_SPECIES
Sr 87.62 Sr.upf
B 10.81 B.upf
H 1.01 H.upf
CELL_PARAMETERS angstrom
-2.7905 0.4537 -1.6202
-0.4047 -3.2267 -0.2066
-6.7838 -1.3094 8.0407
ATOMIC_POSITIONS angstrom
Sr 0.0000 0.0000 0.0000
Sr -5.5860 -1.1211 2.7535
B -2.7930 -0.5605 1.3768
B -2.9953 -2.1739 1.2735
B -6.3872 -2.8286 5.2938
B -7.7825 -2.6017 4.4837
H -1.5976 -1.3865 -0.9134
H -4.3931 -2.9613 3.4603

***

17.
! PBE-GGA Sc2ZnAu, relaxed; values from VASP
! * space-group type: I-42d
! * energy of formation from the pure elements: -0.15 eV per atom
&SYSTEM
  ibrav = 0, nat = 8, ntyp = 3
/
ATOMIC_SPECIES
Sc 44.96 Sc.upf
Zn 65.41 Zn.upf
Au 196.97 Au.upf
CELL_PARAMETERS angstrom
-1.3432 6.8167 -2.4777
-3.1098 1.7352 6.4598
0.6307 5.2443 3.1064
ATOMIC_POSITIONS angstrom
Sc -1.0813 5.8428 0.0157
Sc -1.9431 3.1933 4.5240
Sc -1.1721 7.1263 3.7715
Sc -3.4482 11.4299 5.8657
Zn -2.2265 4.2759 1.9910
Zn -2.3528 5.6277 5.7786
Au 0.0000 0.0000 0.0000
Au -1.4695 8.1685 1.3099

***

18.
! PBE-GGA TbDy4Ho3Se8, relaxed; values from VASP
! * space-group type: R-3m
! * uncorrected formation energy: -40.05 kcal/mol of atoms
&SYSTEM
  ibrav = 0, nat = 16, ntyp = 4
/
ATOMIC_SPECIES
Tb 158.93 Tb.upf
Dy 162.50 Dy.upf
Ho 164.93 Ho.upf
Se 78.96 Se.upf
CELL_PARAMETERS angstrom
8.1376 0.0000 0.0000
0.0000 8.1462 -0.0009
-4.0688 -4.0657 5.7582
ATOMIC_POSITIONS angstrom
Tb 0.0000 4.0731 -0.0004
Dy 4.0688 0.0000 0.0000
Dy 2.0344 -2.0328 2.8791
Dy 0.0000 0.0000 0.0000
Dy -2.0344 -2.0328 2.8791
Ho 4.0688 4.0731 -0.0004
Ho 2.0344 2.0402 2.8786
Ho -2.0344 2.0402 2.8786
Se -2.0249 2.0440 5.7484
Se 0.0000 4.0652 2.8895
Se 0.0000 0.0133 2.8897
Se 2.0249 2.0440 5.7484
Se 2.0439 2.0365 0.0088
Se 4.0688 4.0672 2.8676
Se 4.0688 0.0153 2.8678
Se 6.0937 2.0365 0.0088

***

19.
! PBE-GGA CuTcSb2, relaxed; values from VASP
! * space-group type: P4mm
! * uncorrected formation energy: 4.59 kcal/mol of atoms
! * excess energy over the best structure of this formula in the dataset: 0.36 eV per formula unit
&SYSTEM
  ibrav = 0, nat = 4, ntyp = 3
/
ATOMIC_SPECIES
Cu 63.55 Cu.upf
Sb 121.76 Sb.upf
Tc 98.00 Tc.upf
CELL_PARAMETERS angstrom
3.3676 0.0000 0.0000
0.0000 3.3676 0.0000
0.0000 0.0000 7.4123
ATOMIC_POSITIONS angstrom
Cu 1.6838 1.6838 5.3517
Sb 0.0000 0.0000 6.6882
Sb 1.6838 1.6838 2.5497
Tc 0.0000 0.0000 3.9412

***

20.
! PBE-GGA Sm4Y4Er, relaxed; values from VASP
! * space-group type: I4/mmm
! * energy of formation from the pure elements: 0.02 eV per atom
! * excess energy over the best structure of this formula in the dataset: 0.03 eV per formula unit
&SYSTEM
  ibrav = 0, nat = 9, ntyp = 3
/
ATOMIC_SPECIES
Sm 150.36 Sm.upf
Y 88.91 Y.upf
Er 167.26 Er.upf
CELL_PARAMETERS angstrom
-3.1735 -3.9188 -0.5482
3.1105 -5.0436 -5.4186
2.0545 -5.6857 5.2845
ATOMIC_POSITIONS angstrom
Sm -0.3988 -6.1852 -0.4093
Sm 2.3904 -8.4629 -0.2731
Sm 2.7582 -5.2565 -1.8571
Sm -0.7667 -9.3916 1.1747
Y -0.0335 -5.9805 -3.9870
Y 2.0251 -8.6676 3.3046
Y 2.3709 -11.4532 -2.2511
Y -0.3794 -3.1949 1.5688
Er 0.0000 0.0000 0.0000

***

21.
! PBE-GGA Hf3ZrRh, relaxed; values from VASP
! * space-group type: Pm-3m
! * energy of formation from the pure elements: 0.25 eV per atom
&SYSTEM
  ibrav = 0, nat = 5, ntyp = 3
/
ATOMIC_SPECIES
Rh 102.91 Rh.upf
Hf 178.49 Hf.upf
Zr 91.22 Zr.upf
CELL_PARAMETERS angstrom
4.9636 0.0000 0.0000
0.0000 4.9636 0.0000
0.0000 0.0000 4.9636
ATOMIC_POSITIONS angstrom
Rh 0.0000 0.0000 0.0000
Hf 0.0000 2.4818 0.0000
Hf 0.0000 0.0000 2.4818
Hf 2.4818 0.0000 0.0000
Zr 2.4818 2.4818 2.4818

***

22.
! PBE-GGA CrRhAu2, relaxed; values from VASP
! * space-group type: R3m
! * energy of formation from the pure elements: 0.14 eV per atom
&SYSTEM
  ibrav = 0, nat = 4, ntyp = 3
/
ATOMIC_SPECIES
Au 196.97 Au.upf
Cr 52.00 Cr.upf
Rh 102.91 Rh.upf
CELL_PARAMETERS angstrom
9.4964 -0.0020 -0.0012
9.0896 2.7498 -0.0012
9.0896 1.3438 2.3990
ATOMIC_POSITIONS angstrom
Au 0.1011 0.0150 0.0088
Au 6.7186 0.9933 0.5818
Cr 13.6734 2.0215 1.1841
Rh 21.0202 3.1077 1.8204

***

What are the calculated density values for these records? In order: 11.7; 9.2; 7.4; 4.8; 1.7; 18.7; 6.2; 5.0; 6.7; 2.9; 1.9; 2.9; 6.2; 8.3; 10.8; 3.3; 6.7; 8.4; 8.0; 6.3; 9.9; 14.5 Mg/m³.